1.
# CoIr (meta-GGA SCAN, PBEsol geometry)
# - volume (Å³ per atom) = 12.491
# - total moment (Bohr magnetons per cell) = 3.93
# - DFT total energy (Ry per atom) = -3.24395
# - formation energy from the elements (kcal/mol of atoms) = 1.5
# - crystal system = trigonal
data_CoIr
_space_group_name_H-M_alt 'P -3 m 1'
_space_group_IT_number 164
_space_group_name_Hall '-P 3 2"'
_cell_length_a 2.6472
_cell_length_b 2.6472
_cell_length_c 8.2328
_cell_angle_alpha 90.00
_cell_angle_beta 90.00
_cell_angle_gamma 120.00
loop_
_atom_site_label
_atom_site_type_symbol
_atom_site_fract_x
_atom_site_fract_y
_atom_site_fract_z
_atom_site_occupancy
Co1 Co 0.3333 0.6667 0.3866 1
Ir1 Ir 0.3333 0.6667 0.8633 1

***

2.
# CoIr2 (meta-GGA SCAN, PBEsol geometry)
# - volume (Å³ per atom) = 13.065
# - total moment (Bohr magnetons per cell) = 10.51
# - DFT total energy (Ry per atom) = -3.90741
# - formation energy from the elements (kcal/mol of atoms) = 0.1
# - crystal system = monoclinic
data_CoIr2
_space_group_name_H-M_alt 'C 1 m 1'
_space_group_IT_number 8
_space_group_name_Hall 'C -2y'
_cell_length_a 9.637
_cell_length_b 2.677
_cell_length_c 6.258
_cell_angle_alpha 90.00
_cell_angle_beta 103.79
_cell_angle_gamma 90.00
loop_
_atom_site_label
_atom_site_type_symbol
_atom_site_fract_x
_atom_site_fract_y
_atom_site_fract_z
_atom_site_occupancy
Co1 Co 0.000 0.000 0.000 1
Co2 Co 0.164 0.500 0.323 1
Ir1 Ir 0.056 0.000 0.603 1
Ir2 Ir 0.219 0.500 0.946 1
Ir3 Ir 0.333 0.000 0.664 1
Ir4 Ir 0.388 0.000 0.270 1

***

3.
# Co5Ir4 (meta-GGA SCAN, PBEsol geometry)
# - volume (Å³ per atom) = 12.030
# - total moment (Bohr magnetons per cell) = 20.28
# - DFT total energy (Ry per atom) = -3.02400
# - formation energy from the elements (kcal/mol of atoms) = 1.6
# - crystal system = tetragonal
data_Co5Ir4
_space_group_name_H-M_alt 'I 4/m m m'
_space_group_IT_number 139
_space_group_name_Hall '-I 4 2'
_cell_length_a 7.667
_cell_length_b 7.667
_cell_length_c 3.683
_cell_angle_alpha 90.00
_cell_angle_beta 90.00
_cell_angle_gamma 90.00
loop_
_atom_site_label
_atom_site_type_symbol
_atom_site_fract_x
_atom_site_fract_y
_atom_site_fract_z
_atom_site_occupancy
Co1 Co 0.000 0.000 0.000 1
Co2 Co 0.164 0.164 0.500 1
Ir1 Ir 0.000 0.324 0.000 1

***

4.
# CoIr2 (meta-GGA SCAN, PBEsol geometry)
# - volume (Å³ per atom) = 12.857
# - total moment (Bohr magnetons per cell) = 3.36
# - DFT total energy (Ry per atom) = -3.90430
# - formation energy from the elements (kcal/mol of atoms) = 1.1
# - crystal system = tetragonal
data_CoIr2
_space_group_name_H-M_alt 'I 4/m m m'
_space_group_IT_number 139
_space_group_name_Hall '-I 4 2'
_cell_length_a 2.666
_cell_length_b 2.666
_cell_length_c 10.856
_cell_angle_alpha 90.00
_cell_angle_beta 90.00
_cell_angle_gamma 90.00
loop_
_atom_site_label
_atom_site_type_symbol
_atom_site_fract_x
_atom_site_fract_y
_atom_site_fract_z
_atom_site_occupancy
Co1 Co 0.000 0.000 0.000 1
Ir1 Ir 0.000 0.000 0.338 1

***

5.
# CoIr (meta-GGA SCAN, PBEsol geometry)
# - volume (Å³ per atom) = 12.205
# - total moment (Bohr magnetons per cell) = 8.37
# - DFT total energy (Ry per atom) = -3.24273
# - formation energy from the elements (kcal/mol of atoms) = 1.9
# - crystal system = orthorhombic
data_CoIr
_space_group_name_H-M_alt 'C m c m'
_space_group_IT_number 63
_space_group_name_Hall '-C 2c 2'
_cell_length_a 2.622
_cell_length_b 9.535
_cell_length_c 3.906
_cell_angle_alpha 90.00
_cell_angle_beta 90.00
_cell_angle_gamma 90.00
loop_
_atom_site_label
_atom_site_type_symbol
_atom_site_fract_x
_atom_site_fract_y
_atom_site_fract_z
_atom_site_occupancy
Co1 Co 0.000 0.065 0.250 1
Ir1 Ir 0.000 0.328 0.250 1

***

6.
# CoIr (meta-GGA SCAN, PBEsol geometry)
# - volume (Å³ per atom) = 12.432
# - total moment (Bohr magnetons per cell) = 2.47
# - DFT total energy (Ry per atom) = -3.24795
# - formation energy from the elements (kcal/mol of atoms) = 0.3
# - crystal system = hexagonal
data_CoIr
_space_group_name_H-M_alt 'P -6 m 2'
_space_group_IT_number 187
_space_group_name_Hall 'P -6 2'
_cell_length_a 2.6483
_cell_length_b 2.6483
_cell_length_c 4.0935
_cell_angle_alpha 90.00
_cell_angle_beta 90.00
_cell_angle_gamma 120.00
loop_
_atom_site_label
_atom_site_type_symbol
_atom_site_fract_x
_atom_site_fract_y
_atom_site_fract_z
_atom_site_occupancy
Co1 Co 0.0000 0.0000 0.0000 1
Ir1 Ir 0.3333 0.6667 0.5000 1

***

7.
# CoIr (meta-GGA SCAN, PBEsol geometry)
# - volume (Å³ per atom) = 12.414
# - total moment (Bohr magnetons per cell) = 6.52
# - DFT total energy (Ry per atom) = -3.24553
# - formation energy from the elements (kcal/mol of atoms) = 1.0
# - crystal system = trigonal
data_CoIr
_space_group_name_H-M_alt 'R -3 m'
_space_group_IT_number 166
_space_group_name_Hall '-R 3 2"'
_cell_length_a 2.6339
_cell_length_b 2.6339
_cell_length_c 12.3984
_cell_angle_alpha 90.00
_cell_angle_beta 90.00
_cell_angle_gamma 120.00
loop_
_atom_site_label
_atom_site_type_symbol
_atom_site_fract_x
_atom_site_fract_y
_atom_site_fract_z
_atom_site_occupancy
Co1 Co 0.0000 0.0000 0.0000 1
Ir1 Ir 0.0000 0.0000 0.5000 1

***

8.
# CoIr (meta-GGA SCAN, PBEsol geometry)
# - volume (Å³ per atom) = 12.118
# - total moment (Bohr magnetons per cell) = 6.38
# - DFT total energy (Ry per atom) = -3.24649
# - formation energy from the elements (kcal/mol of atoms) = 0.7
# - crystal system = tetragonal
data_CoIr
_space_group_name_H-M_alt 'I 41/a m d'
_space_group_IT_number 141
_cell_length_a 3.616
_cell_length_b 3.616
_cell_length_c 7.414
_cell_angle_alpha 90.00
_cell_angle_beta 90.00
_cell_angle_gamma 90.00
loop_
_space_group_symop_operation_xyz
'x,y,z'
'-x,-y,-z'
'-y+1/4,x+3/4,z+1/4'
'y+1/4,-x+3/4,-z+1/4'
'-x+1/2,-y,z+1/2'
'x+1/2,y,-z+1/2'
'y+1/4,-x+1/4,z+3/4'
'-y+1/4,x+1/4,-z+3/4'
'x,-y,-z'
'-x,y,z'
'-y+1/4,-x+1/4,-z+3/4'
'y+1/4,x+1/4,z+3/4'
'-x+1/2,y,-z+1/2'
'x+1/2,-y,z+1/2'
'y+1/4,x+3/4,-z+1/4'
'-y+1/4,-x+3/4,z+1/4'
'x+1/2,y+1/2,z+1/2'
'-x+1/2,-y+1/2,-z+1/2'
'-y+3/4,x+1/4,z+3/4'
'y+3/4,-x+1/4,-z+3/4'
'-x,-y+1/2,z'
'x,y+1/2,-z'
'y+3/4,-x+3/4,z+1/4'
'-y+3/4,x+3/4,-z+1/4'
'x+1/2,-y+1/2,-z+1/2'
'-x+1/2,y+1/2,z+1/2'
'-y+3/4,-x+3/4,-z+1/4'
'y+3/4,x+3/4,z+1/4'
'-x,y+1/2,-z'
'x,-y+1/2,z'
'y+3/4,x+1/4,-z+3/4'
'-y+3/4,-x+1/4,z+3/4'
loop_
_atom_site_label
_atom_site_type_symbol
_atom_site_fract_x
_atom_site_fract_y
_atom_site_fract_z
_atom_site_occupancy
Co1 Co 0.000 0.250 0.375 1
Ir1 Ir 0.000 0.250 0.875 1

***

9.
# Co5Ir (meta-GGA SCAN, PBEsol geometry)
# - energy above the most stable polymorph in this dataset (eV/atom) = 0.018
# - volume (Å³ per atom) = 11.052
# - total moment (Bohr magnetons per cell) = 18.39
# - DFT total energy (Ry per atom) = -1.92731
# - formation energy from the elements (kcal/mol of atoms) = 1.1
# - crystal system = orthorhombic
data_Co5Ir
_space_group_name_H-M_alt 'A m m 2'
_space_group_IT_number 38
_space_group_name_Hall 'A 2 -2'
_cell_length_a 4.022
_cell_length_b 2.543
_cell_length_c 12.970
_cell_angle_alpha 90.00
_cell_angle_beta 90.00
_cell_angle_gamma 90.00
loop_
_atom_site_label
_atom_site_type_symbol
_atom_site_fract_x
_atom_site_fract_y
_atom_site_fract_z
_atom_site_occupancy
Co1 Co 0.000 0.000 0.000 1
Co2 Co 0.000 0.000 0.325 1
Co3 Co 0.000 0.000 0.663 1
Co4 Co 0.500 0.000 0.113 1
Co5 Co 0.500 0.000 0.771 1
Ir1 Ir 0.500 0.000 0.442 1

***

10.
# CoIr2 (meta-GGA SCAN, PBEsol geometry)
# - volume (Å³ per atom) = 12.820
# - total moment (Bohr magnetons per cell) = 2.98
# - DFT total energy (Ry per atom) = -3.90655
# - formation energy from the elements (kcal/mol of atoms) = 0.4
# - crystal system = orthorhombic
data_CoIr2
_space_group_name_H-M_alt 'I m m m'
_space_group_IT_number 71
_space_group_name_Hall '-I 2 2'
_cell_length_a 2.665
_cell_length_b 3.674
_cell_length_c 7.856
_cell_angle_alpha 90.00
_cell_angle_beta 90.00
_cell_angle_gamma 90.00
loop_
_atom_site_label
_atom_site_type_symbol
_atom_site_fract_x
_atom_site_fract_y
_atom_site_fract_z
_atom_site_occupancy
Co1 Co 0.000 0.000 0.000 1
Ir1 Ir 0.000 0.000 0.336 1

***

11.
# KCoIr2 (meta-GGA SCAN, PBEsol geometry)
# - volume (Å³ per atom) = 15.735
# - total moment (Bohr magnetons per cell) = 2.91
# - DFT total energy (Ry per atom) = -3.01697
# - formation energy from the elements (kcal/mol of atoms) = 21.0
# - crystal system = orthorhombic
data_KCoIr2
_space_group_name_H-M_alt 'P m m m'
_space_group_IT_number 47
_space_group_name_Hall '-P 2 2'
_cell_length_a 2.664
_cell_length_b 4.748
_cell_length_c 4.976
_cell_angle_alpha 90.00
_cell_angle_beta 90.00
_cell_angle_gamma 90.00
loop_
_atom_site_label
_atom_site_type_symbol
_atom_site_fract_x
_atom_site_fract_y
_atom_site_fract_z
_atom_site_occupancy
K1 K 0.000 0.000 0.000 1
Co1 Co 0.500 0.500 0.000 1
Ir1 Ir 0.000 0.500 0.500 1
Ir2 Ir 0.500 0.000 0.500 1

***

12.
# KCoIr4 (meta-GGA SCAN, PBEsol geometry)
# - volume (Å³ per atom) = 16.656
# - total moment (Bohr magnetons per cell) = 19.48
# - DFT total energy (Ry per atom) = -3.74724
# - formation energy from the elements (kcal/mol of atoms) = 15.9
# - crystal system = cubic
data_KCoIr4
_space_group_name_H-M_alt 'F -4 3 m'
_space_group_IT_number 216
_space_group_name_Hall 'F -4 2 3'
_cell_length_a 7.367
_cell_length_b 7.367
_cell_length_c 7.367
_cell_angle_alpha 90.00
_cell_angle_beta 90.00
_cell_angle_gamma 90.00
loop_
_atom_site_label
_atom_site_type_symbol
_atom_site_fract_x
_atom_site_fract_y
_atom_site_fract_z
_atom_site_occupancy
K1 K 0.000 0.000 0.000 1
Co1 Co 0.250 0.250 0.750 1
Ir1 Ir 0.125 0.125 0.375 1